The following is a PBE-GGA calculation of an optimized crystal structure of Pm2GaCo3Ge4, from Alexandria via LeMat-Bulk.

Cell lengths 4.129, 4.129, 10.029 Å; angles 90.00, 90.00, 90.00 degrees
Fractional positions:
Pm  0.000  0.500  0.238
Pm  0.500  0.000  0.762
Ga  0.000  0.000  0.500
Co  0.000  0.500  0.882
Co  0.500  0.000  0.118
Co  0.500  0.500  0.500
Ge  0.000  0.000  0.000
Ge  0.000  0.500  0.650
Ge  0.500  0.000  0.350
Ge  0.500  0.500  0.000

DFT total energy ... -5.76 eV per atom